A plane-wave DFT calculation with PBE with a Hubbard U was carried out for an optimized crystal structure of Sr2VSiO6.

abc: 5.491 5.491 9.478
angles: 73.16 73.16 60.00
Fractional positions:
O  0.195  0.725  0.884
O  0.390  0.844  0.376
O  0.156  0.610  0.624
O  0.805  0.805  0.116
O  0.275  0.805  0.116
O  0.610  0.156  0.624
O  0.725  0.195  0.884
O  0.195  0.195  0.884
O  0.610  0.610  0.624
O  0.805  0.275  0.116
O  0.390  0.390  0.376
O  0.844  0.390  0.376
V  0.407  0.407  0.780
V  0.593  0.593  0.220
Si  0.000  0.000  0.000
Si  0.500  0.500  0.500
Sr  0.130  0.130  0.609
Sr  0.718  0.718  0.846
Sr  0.282  0.282  0.154
Sr  0.870  0.870  0.391

Computed properties:
Symmetry   R-3m, No. 166
E   -7.22 eV/atom
Crystal system   trigonal